[1]
Below is an optimized crystal structure of Cd2InW, with properties calculated at the PBE level.

Computed properties:
- formation energy (kJ per mole of atoms) = 59.1

Lattice parameters (Å, degrees): 5.6417 5.6417 5.6417 137.98 137.98 60.93
Element x y z (fractional)
Cd 0.2500 0.7500 0.5000
Cd 0.7500 0.2500 0.5000
In 0.0000 0.0000 0.0000
W 0.5000 0.5000 0.0000


[2]
Below is an optimized crystal structure of ZnCu2Au, with properties calculated at the PBE level.

Computed properties:
- formation energy (kJ per mole of atoms) = 0.9

Lattice parameters (Å, degrees): 8.5647 8.5647 8.5647 18.95 18.95 18.95
Element x y z (fractional)
Zn 0.0000 0.0000 0.0000
Cu 0.2543 0.2543 0.2543
Cu 0.4123 0.4123 0.4123
Au 0.8331 0.8331 0.8331


[3]
Below is an optimized crystal structure of La2OsBr, with properties calculated at the PBE level.

Computed properties:
- ΔE_f (raw) (meV/atom) = -430.3
- E above lowest polymorph (eV per atom) = 0.374

Lattice parameters (Å, degrees): 8.0415 8.0415 8.0415 129.84 129.84 73.66
Element x y z (fractional)
La 0.0614 0.6250 0.9364
La 0.3750 0.3114 0.4364
La 0.6886 0.1250 0.0636
La 0.8750 0.9386 0.5636
Os 0.0000 0.0000 0.0000
Os 0.7500 0.2500 0.5000
Br 0.2500 0.7500 0.5000
Br 0.5000 0.5000 0.0000


[4]
Below is an optimized crystal structure of Al2AsP, with properties calculated at the PBE level.

Computed properties:
- E above lowest polymorph (eV per atom) = 0.669
- formation energy (kJ per mole of atoms) = 11.7

Lattice parameters (Å, degrees): 3.5329 3.6033 5.6954 90.00 90.00 90.00
Element x y z (fractional)
Al 0.0000 0.0000 0.0000
Al 0.0000 0.5000 0.5000
As 0.5000 0.0000 0.5000
P 0.5000 0.5000 0.0000


[5]
Below is an optimized crystal structure of Hf3PBr, with properties calculated at the PBE level.

Computed properties:
- ΔE_f (raw) (meV/atom) = 936.9

Lattice parameters (Å, degrees): 4.8799 4.8799 4.8799 90.00 90.00 90.00
Element x y z (fractional)
Hf 0.0000 0.0000 0.5000
Hf 0.0000 0.5000 0.0000
Hf 0.5000 0.0000 0.0000
P 0.5000 0.5000 0.5000
Br 0.0000 0.0000 0.0000


[6]
Below is an optimized crystal structure of Sm6Sb2Se3S, with properties calculated at the PBE level.

Computed properties:
- ΔE_f (raw) (meV/atom) = -1624.9

Lattice parameters (Å, degrees): 9.5391 9.5391 8.5274 102.87 102.87 25.69
Element x y z (fractional)
Sm 0.0033 0.0033 0.2717
Sm 0.3384 0.3384 0.9084
Sm 0.3440 0.3440 0.4301
Sm 0.6560 0.6560 0.5699
Sm 0.6616 0.6616 0.0916
Sm 0.9967 0.9967 0.7283
Sb 0.1666 0.1666 0.8342
Sb 0.8334 0.8334 0.1658
Se 0.1705 0.1705 0.3369
Se 0.5000 0.5000 0.0000
Se 0.8295 0.8295 0.6631
S 0.5000 0.5000 0.5000


[7]
Below is an optimized crystal structure of CsYSe2O6, with properties calculated at the PBE level.

Computed properties:
- ΔE_f (raw) (meV/atom) = -1786.2

Lattice parameters (Å, degrees): 9.0033 9.0033 9.0033 90.00 90.00 90.00
Element x y z (fractional)
Cs 0.0000 0.0000 0.0000
Cs 0.0000 0.5000 0.5000
Cs 0.5000 0.0000 0.5000
Cs 0.5000 0.5000 0.0000
Y 0.0000 0.0000 0.5000
Y 0.0000 0.5000 0.0000
Y 0.5000 0.0000 0.0000
Y 0.5000 0.5000 0.5000
Se 0.2346 0.2346 0.2346
Se 0.2346 0.2654 0.7346
Se 0.2654 0.7346 0.2346
Se 0.2654 0.7654 0.7346
Se 0.7346 0.2346 0.2654
Se 0.7346 0.2654 0.7654
Se 0.7654 0.7346 0.2654
Se 0.7654 0.7654 0.7654
O 0.0796 0.1821 0.6573
O 0.0796 0.3179 0.1573
O 0.1573 0.0796 0.3179
O 0.1573 0.4204 0.8179
O 0.1821 0.6573 0.0796
O 0.1821 0.8427 0.5796
O 0.3179 0.1573 0.0796
O 0.3179 0.3427 0.5796
O 0.3427 0.5796 0.3179
O 0.3427 0.9204 0.8179
O 0.4204 0.6821 0.6573
O 0.4204 0.8179 0.1573
O 0.5796 0.1821 0.8427
O 0.5796 0.3179 0.3427
O 0.6573 0.0796 0.1821
O 0.6573 0.4204 0.6821
O 0.6821 0.6573 0.4204
O 0.6821 0.8427 0.9204
O 0.8179 0.1573 0.4204
O 0.8179 0.3427 0.9204
O 0.8427 0.5796 0.1821
O 0.8427 0.9204 0.6821
O 0.9204 0.6821 0.8427
O 0.9204 0.8179 0.3427


[8]
Below is an optimized crystal structure of Ce4NdN5, with properties calculated at the PBE level.

Computed properties:
- ΔE_f (raw) (meV/atom) = -1470.7

Lattice parameters (Å, degrees): 12.8854 12.8854 12.8854 163.98 163.98 22.73
Element x y z (fractional)
Ce 0.1005 0.1005 0.0000
Ce 0.2997 0.2997 0.0000
Ce 0.7003 0.7003 0.0000
Ce 0.8995 0.8995 0.0000
Nd 0.5000 0.5000 0.0000
N 0.0000 0.0000 0.0000
N 0.1998 0.1998 0.0000
N 0.3979 0.3979 0.0000
N 0.6021 0.6021 0.0000
N 0.8002 0.8002 0.0000


[9]
Below is an optimized crystal structure of CaScGa3, with properties calculated at the PBE level.

Computed properties:
- E above lowest polymorph (eV per atom) = 0.000
- formation energy (kJ per mole of atoms) = -49.0

Lattice parameters (Å, degrees): 13.3308 13.3308 4.3488 90.00 90.00 164.39
Element x y z (fractional)
Ca 0.0768 0.9232 0.7500
Ca 0.9232 0.0768 0.2500
Sc 0.2107 0.7893 0.2500
Sc 0.7893 0.2107 0.7500
Ga 0.3180 0.6820 0.2500
Ga 0.3754 0.6246 0.7500
Ga 0.4752 0.5248 0.7500
Ga 0.5248 0.4752 0.2500
Ga 0.6246 0.3754 0.2500
Ga 0.6820 0.3180 0.7500


[10]
Below is an optimized crystal structure of Dy7Ag2Sb2, with properties calculated at the PBE level.

Computed properties:
- ΔE_f (raw) (meV/atom) = -185.7

Lattice parameters (Å, degrees): 7.0295 7.0295 6.9954 90.00 90.00 102.56
Element x y z (fractional)
Dy 0.0000 0.0000 0.0000
Dy 0.0000 0.5000 0.2618
Dy 0.0000 0.5000 0.7382
Dy 0.5000 0.0000 0.2618
Dy 0.5000 0.0000 0.7382
Dy 0.5000 0.5000 0.2458
Dy 0.5000 0.5000 0.7542
Ag 0.2801 0.7199 0.0000
Ag 0.7199 0.2801 0.0000
Sb 0.1975 0.1975 0.5000
Sb 0.8025 0.8025 0.5000


[11]
Below is an optimized crystal structure of K2Cd10Sn, with properties calculated at the PBE level.

Computed properties:
- formation energy (kJ per mole of atoms) = -0.5

Lattice parameters (Å, degrees): 10.0809 12.3446 6.5732 90.00 90.00 90.00
Element x y z (fractional)
K 0.2363 0.0623 0.0000
K 0.2637 0.5623 0.0000
K 0.7363 0.4377 0.0000
K 0.7637 0.9377 0.0000
Cd 0.0472 0.6187 0.5000
Cd 0.0825 0.8029 0.2165
Cd 0.0825 0.8029 0.7835
Cd 0.1754 0.2048 0.5000
Cd 0.2250 0.4372 0.5000
Cd 0.2750 0.9372 0.5000
Cd 0.3246 0.7048 0.5000
Cd 0.4175 0.3029 0.2165
Cd 0.4175 0.3029 0.7835
Cd 0.4528 0.1187 0.5000
Cd 0.5472 0.8813 0.5000
Cd 0.5825 0.6971 0.2165
Cd 0.5825 0.6971 0.7835
Cd 0.6754 0.2952 0.5000
Cd 0.7250 0.0628 0.5000
Cd 0.7750 0.5628 0.5000
Cd 0.8246 0.7952 0.5000
Cd 0.9175 0.1971 0.2165
Cd 0.9175 0.1971 0.7835
Cd 0.9528 0.3813 0.5000
Sn 0.0000 0.0000 0.5000
Sn 0.5000 0.5000 0.5000


[12]
Below is an optimized crystal structure of NbVI2N, with properties calculated at the PBE level.

Computed properties:
- ΔE_f (raw) (meV/atom) = 532.6
- E above lowest polymorph (eV per atom) = 0.000

Lattice parameters (Å, degrees): 5.5542 5.5542 3.6557 90.00 90.00 90.00
Element x y z (fractional)
Nb 0.0000 0.0000 0.0000
V 0.5000 0.5000 0.5000
I 0.0000 0.5000 0.5000
I 0.5000 0.0000 0.5000
N 0.5000 0.5000 0.0000


Number 1: raw total energy -3.7681 eV per atom. Number 2: raw total energy -3.1768 eV per atom. Number 3: raw total energy -6.1197 eV per atom. Number 4: raw total energy -4.2652 eV per atom. Number 5: raw total energy -6.4517 eV per atom. Number 6: raw total energy -5.8866 eV per atom. Number 7: raw total energy -6.1898 eV per atom. Number 8: raw total energy -8.4838 eV per atom. Number 9: raw total energy -3.9903 eV per atom. Number 10: raw total energy -4.3823 eV per atom. Number 11: raw total energy -1.1861 eV per atom. Number 12: raw total energy -5.5902 eV per atom.